Entry 1:
First-principles (PBE-GGA) data for a relaxed structure of Re2RuAu, as listed in Alexandria.

Energy of formation, eV/atom: 0.31

Cell: 4.8686 4.8686 4.7613 Å, 80.02 80.02 33.41°
Last column: nearest neighbours and their distance in Å.
Fractional positions:
Au1 0.2500 0.2500 0.2500  4 Ru 2.76, 6 Re 2.79-2.87, 2 Au 2.80
Re1 0.0075 0.0075 0.9818  6 Re 2.64-2.89, 3 Ru 2.72-2.82, 3 Au 2.79-2.87
Re2 0.4925 0.4925 0.5182  6 Re 2.64-2.89, 3 Ru 2.72-2.82, 3 Au 2.79-2.87
Ru1 0.7500 0.7500 0.7500  6 Re 2.72-2.82, 4 Au 2.76, 2 Ru 2.80

=====

Entry 2:
First-principles (PBE-GGA) data for a relaxed structure of Tb2Er3Ir2, as listed in Alexandria.

Energy of formation, eV/atom: -0.65

Cell: 3.8216 6.2953 8.8365 Å, 115.00 90.00 107.67°
Last column: nearest neighbours and their distance in Å.
Fractional positions:
Tb1 0.8335 0.6669 0.1937  2 Ir 2.84
Tb2 0.1665 0.3331 0.8063  2 Ir 2.84
Er1 0.5000 0.0000 0.0000  4 Ir 2.92
Er2 0.6194 0.2388 0.4311  3 Ir 2.84-2.87
Er3 0.3806 0.7612 0.5689  3 Ir 2.84-2.87
Ir1 0.8248 0.6496 0.7628  2 Tb 2.84, 5 Er 2.84-2.92
Ir2 0.1752 0.3504 0.2372  2 Tb 2.84, 5 Er 2.84-2.92

=====

| no. | DOS(E_F) (states/eV/atom) |
| --- | --- |
| 1 | 0.893 |
| 2 | 0.942 |